## CdGa2PC (PBE)

Data for crystalline CdGa2PC at its relaxed geometry.

Cell and atoms, written as POSCAR:
```
CdGa2PC
1.0
5.275 0.000 0.000
0.000 5.275 0.000
0.000 0.000 3.435
P C Ga Cd
1 1 2 1
direct
0.000 0.000 0.000
0.000 0.000 0.500
0.000 0.500 0.000
0.500 0.000 0.000
0.500 0.500 0.500
```

Results
- Theoretical density: 5.12 g cm⁻³
- Crystal system: tetragonal
- Magnetization: 0.00 μB/f.u.
- Calculated formation energy: 0.777 eV per atom